# 1
Entry from Alexandria via LeMat-Bulk: an optimized crystal structure of P2IrOs (PBE-GGA).

Calculated values
ΔE_f (kcal/mol of atoms): 3.1
Magnetic moment (μB/f.u.): 0.00
ρ (g/cm³): 12.0
Energy above the lowest structure with this stoichiometry (eV/atom): 0.4384
N(E_F) (states/eV/atom): 0.84
Total DFT energy (no corrections) (eV per atom): -7.593

a = 3.9372 Å, b = 3.8592 Å, c = 4.0531 Å
α = 90.00°, β = 93.20°, γ = 90.00°
Last column: nearest neighbours and their distance in Å.
Space group P2/m (No. 10)
Unique sites:
P 0.1804 0.0000 0.3085 x2  1 P 2.16, 2 Os 2.39, 2 Ir 2.41
Ir 0.5000 0.5000 0.5000 x1  4 P 2.41
Os 0.0000 0.5000 0.0000 x1  4 P 2.39

---

# 2
Entry from Alexandria via LeMat-Bulk: an optimized crystal structure of PIrOs2 (PBE-GGA).

Calculated values
ΔE_f (kcal/mol of atoms): 16.5
Magnetic moment (μB/f.u.): 1.48
ρ (g/cm³): 17.3
N(E_F) (states/eV/atom): 1.15
Total DFT energy (no corrections) (eV per atom): -8.467

a = 6.1455 Å, b = 6.1455 Å, c = 6.1455 Å
α = 90.00°, β = 90.00°, γ = 90.00°
Last column: nearest neighbours and their distance in Å.
Space group F-43m (No. 216)
Unique sites:
P 0.0000 0.0000 0.0000 x4  4 Os 2.66, 4 Ir 2.66
Ir 0.2500 0.2500 0.7500 x4  4 Os 2.66, 4 P 2.66
Os 0.0000 0.0000 0.5000 x4  4 Ir 2.66, 4 Os 2.66
Os 0.2500 0.2500 0.2500 x4  4 Os 2.66, 4 P 2.66

---

# 3
Entry from Alexandria via LeMat-Bulk: an optimized crystal structure of PIrOs (PBE-GGA).

Calculated values
ΔE_f (kcal/mol of atoms): 9.9
Magnetic moment (μB/f.u.): 0.00
ρ (g/cm³): 15.8
Energy above the lowest structure with this stoichiometry (eV/atom): 0.5298
N(E_F) (states/eV/atom): 0.71
Total DFT energy (no corrections) (eV per atom): -8.072

a = 2.8129 Å, b = 5.0219 Å, c = 12.3388 Å
α = 90.00°, β = 90.00°, γ = 90.00°
Last column: nearest neighbours and their distance in Å.
Space group Fmm2 (No. 42)
Unique sites:
P 0.0000 0.0000 0.0000 x4  2 Os 2.28, 2 Ir 2.36
Ir 0.0000 0.0000 0.3461 x4  2 P 2.36
Os 0.0000 0.0000 0.6454 x4  2 P 2.28

---

# 4
Entry from Alexandria via LeMat-Bulk: an optimized crystal structure of P2IrOs (PBE-GGA).

Calculated values
ΔE_f (kcal/mol of atoms): -4.9
Magnetic moment (μB/f.u.): 0.00
ρ (g/cm³): 12.1
Energy above the lowest structure with this stoichiometry (eV/atom): 0.0902
N(E_F) (states/eV/atom): 0.38
Total DFT energy (no corrections) (eV per atom): -7.941

a = 2.9285 Å, b = 4.2265 Å, c = 5.7297 Å
α = 101.13°, β = 104.74°, γ = 110.20°
Last column: nearest neighbours and their distance in Å.
Space group P1 (No. 1)
Unique sites:
P 0.0000 0.0000 0.0000 x1  1 Ir 2.29, 3 Os 2.33-2.34
P 0.1753 0.8893 0.4671 x1  3 Ir 2.38-2.45, 2 Os 2.40-2.41
Ir 0.5807 0.5384 0.6303 x1  4 P 2.29-2.45
Os 0.3680 0.6184 0.1159 x1  5 P 2.33-2.41

---

# 5
Entry from Alexandria via LeMat-Bulk: an optimized crystal structure of PIrOs2 (PBE-GGA).

Calculated values
ΔE_f (kcal/mol of atoms): 1.5
Magnetic moment (μB/f.u.): 0.00
ρ (g/cm³): 18.1
N(E_F) (states/eV/atom): 0.48
Total DFT energy (no corrections) (eV per atom): -9.118

a = 2.8061 Å, b = 2.8061 Å, c = 24.3599 Å
α = 90.00°, β = 90.00°, γ = 120.00°
Last column: nearest neighbours and their distance in Å.
Space group R3m (No. 160, hexagonal axes)
Unique sites:
P 0.0000 0.0000 0.0000 x3  3 Os 2.42, 3 Ir 2.46
Ir 0.0000 0.0000 0.2573 x3  3 P 2.46
Os 0.0000 0.0000 0.4970 x3  9 Os 2.72-2.81, 3 Ir 2.80
Os 0.0000 0.0000 0.7407 x3  3 P 2.42

---

# 6
Entry from Alexandria via LeMat-Bulk: an optimized crystal structure of PIrOs2 (PBE-GGA).

Calculated values
ΔE_f (kcal/mol of atoms): 1.9
Magnetic moment (μB/f.u.): 0.00
ρ (g/cm³): 17.8
N(E_F) (states/eV/atom): 0.72
Total DFT energy (no corrections) (eV per atom): -9.098

a = 3.8727 Å, b = 2.8285 Å, c = 10.2753 Å
α = 90.00°, β = 90.00°, γ = 90.00°
Last column: nearest neighbours and their distance in Å.
Space group Amm2 (No. 38)
Unique sites:
P 0.0000 0.0000 0.0000 x2  1 Os 2.29, 2 Ir 2.39
Ir 0.5000 0.0000 0.1361 x2  2 P 2.39
Os 0.0000 0.0000 0.7767 x2  1 P 2.29
Os 0.5000 0.0000 0.3969 x2  4 P 2.62, 3 Ir 2.68-2.84, 6 Os 2.70-2.83

---

Question: Look up the magnetic moment of the sixth one.
Answer: 0.00 μB/f.u.

---

Question: Which formula does entry 3 have?
Answer: PIrOs

---

Question: magnetic moment of number 4 (P2IrOs)?
Answer: 0.00 μB/f.u.

---

Question: Among the records above, which one has the highest ΔE_f?
Answer: number 2